Computed, not measured: Pa3TeSe3 after structural relaxation at the PBE-GGA level of DFT.

For the formation energy without anion corrections, the calculation gives -0.87 eV/atom. The uncorrected energy comes out at -6.8812 eV per atom.

The space group is R-3 (No. 148, hexagonal axes) and the conventional cell measures 7.0907, 7.0907 and 30.7974 Å, with angles of 90.00, 90.00 and 120.00 degrees. The asymmetric unit holds Pa at (0.0000, 0.3020, 0.0561), Te at (0.0000, 0.0000, 0.3333) and Se at (0.0001, 0.3562, 0.8931).

***

Computed, not measured: Pa3TeSe2 after structural relaxation at the PBE-GGA level of DFT.

For the formation energy without anion corrections, the calculation gives -0.64 eV/atom. The uncorrected energy comes out at -7.0779 eV per atom.

The space group is Imma (No. 74) and the conventional cell measures 7.1464, 10.6617 and 9.1540 Å, with angles of 90.00, 90.00 and 90.00 degrees. The asymmetric unit holds Pa at (0.2381, 0.0000, 0.0000), Pa at (0.2500, 0.2500, 0.2500), Te at (0.0000, 0.2500, 0.9548) and Se at (0.0000, 0.0253, 0.2611).